[1]
Density functional theory data (GGA-PBE) for a relaxed structure of NaCeSbPd.

Output
Its space group is F-43m. As for the uncorrected formation energy: -51 kJ per mole of atoms.

The structure in CIF format:
```
data_NaCeSbPd
_chemical_formula_sum 'Na1 Ce1 Sb1 Pd1'
_symmetry_space_group_name_H-M 'P 1'
_symmetry_Int_Tables_number 1
_symmetry_space_group_name_Hall 'P 1'
_cell_length_a 5.153
_cell_length_b 5.153
_cell_length_c 5.153
_cell_angle_alpha 60.00
_cell_angle_beta 60.00
_cell_angle_gamma 60.00
loop_
_atom_site_label
_atom_site_fract_x
_atom_site_fract_y
_atom_site_fract_z
_atom_site_occupancy
Sb1 0.750 0.750 0.750 1
Pd1 0.250 0.250 0.250 1
Ce1 0.500 0.500 0.500 1
Na1 0.000 0.000 0.000 1
```

[2]
Density functional theory data (GGA-PBE) for a relaxed structure of NaCePdSe3.

Output
Its space group is P2_1/m. As for the uncorrected formation energy: -112 kJ per mole of atoms.

The structure in CIF format:
```
data_NaCePdSe3
_chemical_formula_sum 'Na2 Ce2 Pd2 Se6'
_symmetry_space_group_name_H-M 'P 1'
_symmetry_Int_Tables_number 1
_symmetry_space_group_name_Hall 'P 1'
_cell_length_a 4.220
_cell_length_b 8.275
_cell_length_c 9.214
_cell_angle_alpha 102.66
_cell_angle_beta 90.00
_cell_angle_gamma 90.00
loop_
_atom_site_label
_atom_site_fract_x
_atom_site_fract_y
_atom_site_fract_z
_atom_site_occupancy
Pd1 0.750 0.903 0.426 1
Pd2 0.250 0.097 0.574 1
Se1 0.250 0.096 0.862 1
Se2 0.750 0.230 0.515 1
Se3 0.250 0.770 0.485 1
Se4 0.250 0.562 0.841 1
Se5 0.750 0.904 0.138 1
Se6 0.750 0.438 0.159 1
Ce1 0.750 0.315 0.832 1
Ce2 0.250 0.685 0.168 1
Na1 0.750 0.813 0.774 1
Na2 0.250 0.187 0.226 1
```

[3]
Density functional theory data (GGA-PBE) for a relaxed structure of Na3Ce2PdSe6.

Output
Its space group is C2/m. As for the uncorrected formation energy: -120 kJ per mole of atoms.

The structure in CIF format:
```
data_Na3Ce2PdSe6
_chemical_formula_sum 'Na3 Ce2 Pd1 Se6'
_symmetry_space_group_name_H-M 'P 1'
_symmetry_Int_Tables_number 1
_symmetry_space_group_name_Hall 'P 1'
_cell_length_a 7.104
_cell_length_b 7.104
_cell_length_c 7.379
_cell_angle_alpha 98.96
_cell_angle_beta 98.96
_cell_angle_gamma 120.24
loop_
_atom_site_label
_atom_site_fract_x
_atom_site_fract_y
_atom_site_fract_z
_atom_site_occupancy
Pd1 0.000 0.000 0.000 1
Se1 0.078 0.405 0.232 1
Se2 0.922 0.595 0.768 1
Se3 0.595 0.922 0.768 1
Se4 0.405 0.078 0.232 1
Se5 0.758 0.758 0.221 1
Se6 0.242 0.242 0.779 1
Na1 0.165 0.835 0.500 1
Na2 0.835 0.165 0.500 1
Na3 0.500 0.500 0.500 1
Ce1 0.332 0.668 0.000 1
Ce2 0.668 0.332 0.000 1
```

[4]
Density functional theory data (GGA-PBE) for a relaxed structure of NaCePdSe2.

Output
Its space group is P2/c. As for the uncorrected formation energy: -110 kJ per mole of atoms.

The structure in CIF format:
```
data_NaCePdSe2
_chemical_formula_sum 'Na2 Ce2 Pd2 Se4'
_symmetry_space_group_name_H-M 'P 1'
_symmetry_Int_Tables_number 1
_symmetry_space_group_name_Hall 'P 1'
_cell_length_a 4.689
_cell_length_b 7.419
_cell_length_c 7.852
_cell_angle_alpha 99.91
_cell_angle_beta 90.00
_cell_angle_gamma 90.00
loop_
_atom_site_label
_atom_site_fract_x
_atom_site_fract_y
_atom_site_fract_z
_atom_site_occupancy
Se1 0.302 0.722 0.464 1
Se2 0.698 0.278 0.536 1
Se3 0.698 0.722 0.964 1
Se4 0.302 0.278 0.036 1
Ce1 0.522 0.000 0.750 1
Ce2 0.478 0.000 0.250 1
Pd1 0.000 0.000 0.000 1
Pd2 0.000 0.000 0.500 1
Na1 0.163 0.500 0.750 1
Na2 0.837 0.500 0.250 1
```

[5]
Density functional theory data (GGA-PBE) for a relaxed structure of NaCeTlPd.

Output
Its space group is F-43m.

The structure in CIF format:
```
data_NaCeTlPd
_chemical_formula_sum 'Na1 Ce1 Tl1 Pd1'
_symmetry_space_group_name_H-M 'P 1'
_symmetry_Int_Tables_number 1
_symmetry_space_group_name_Hall 'P 1'
_cell_length_a 5.165
_cell_length_b 5.165
_cell_length_c 5.165
_cell_angle_alpha 60.00
_cell_angle_beta 60.00
_cell_angle_gamma 60.00
loop_
_atom_site_label
_atom_site_fract_x
_atom_site_fract_y
_atom_site_fract_z
_atom_site_occupancy
Na1 0.000 0.000 0.000 1
Pd1 0.250 0.250 0.250 1
Tl1 0.750 0.750 0.750 1
Ce1 0.500 0.500 0.500 1
```

[6]
Density functional theory data (GGA-PBE) for a relaxed structure of NaCePm.

Output
Its space group is P3m1. As for the energy above the most stable polymorph in this dataset: 3.7 kJ per mole of atoms.

The structure in CIF format:
```
data_NaCePm
_chemical_formula_sum 'Na1 Ce1 Pm1'
_symmetry_space_group_name_H-M 'P 1'
_symmetry_Int_Tables_number 1
_symmetry_space_group_name_Hall 'P 1'
_cell_length_a 3.499
_cell_length_b 3.499
_cell_length_c 9.320
_cell_angle_alpha 90.00
_cell_angle_beta 90.00
_cell_angle_gamma 120.00
loop_
_atom_site_label
_atom_site_fract_x
_atom_site_fract_y
_atom_site_fract_z
_atom_site_occupancy
Pm1 0.667 0.333 0.347 1
Na1 0.000 0.000 0.000 1
Ce1 0.333 0.667 0.653 1
```

[7]
Density functional theory data (GGA-PBE) for a relaxed structure of NaCePm2.

Output
Its space group is R-3m. As for the energy above the most stable polymorph in this dataset: 61.3 kJ per mole of atoms.

The structure in CIF format:
```
data_NaCePm2
_chemical_formula_sum 'Na1 Ce1 Pm2'
_symmetry_space_group_name_H-M 'P 1'
_symmetry_Int_Tables_number 1
_symmetry_space_group_name_Hall 'P 1'
_cell_length_a 4.202
_cell_length_b 4.202
_cell_length_c 10.479
_cell_angle_alpha 78.43
_cell_angle_beta 78.43
_cell_angle_gamma 60.00
loop_
_atom_site_label
_atom_site_fract_x
_atom_site_fract_y
_atom_site_fract_z
_atom_site_occupancy
Na1 0.000 0.000 0.000 1
Pm1 0.116 0.116 0.651 1
Pm2 0.884 0.884 0.349 1
Ce1 0.500 0.500 0.500 1
```

[8]
Density functional theory data (GGA-PBE) for a relaxed structure of NaCePm2.

Output
Its space group is P4/mmm. As for the energy above the most stable polymorph in this dataset: 0.0 kJ per mole of atoms.

The structure in CIF format:
```
data_NaCePm2
_chemical_formula_sum 'Na1 Ce1 Pm2'
_symmetry_space_group_name_H-M 'P 1'
_symmetry_Int_Tables_number 1
_symmetry_space_group_name_Hall 'P 1'
_cell_length_a 3.534
_cell_length_b 3.534
_cell_length_c 10.634
_cell_angle_alpha 90.00
_cell_angle_beta 90.00
_cell_angle_gamma 90.00
loop_
_atom_site_label
_atom_site_fract_x
_atom_site_fract_y
_atom_site_fract_z
_atom_site_occupancy
Na1 0.500 0.500 0.500 1
Ce1 0.500 0.500 0.000 1
Pm1 0.000 0.000 0.224 1
Pm2 0.000 0.000 0.776 1
```

no.,VASP energy (eV per atom)
1,-4.67
2,-4.98
3,-4.74
4,-5.02
5,-3.90
6,-3.81
7,-3.43
8,-4.06